# 1
4
Lattice="0.000 3.723 3.723 3.723 0.000 3.723 3.723 3.723 0.000" Properties=species:S:1:pos:R:3 comment="CePm2Si (PBE, relaxed)" crystal_system=cubic n_ef_per_ev_cell=7.23 vol_a3_per_cell=103.22 e_form_raw_ev_per_atom=-0.0175 e_above_lowest_polymorph_ev_per_atom=0.2717 space_group=Fm-3m pbc="T T T"
Ce 0.000 0.000 0.000
Pm 1.862 1.862 1.862
Pm 5.585 5.585 5.585
Si 3.723 3.723 3.723

=====

# 2
15
Lattice="4.384 2.531 6.200 -4.384 2.531 6.200 0.000 -5.062 6.200" Properties=species:S:1:pos:R:3 comment="CePm8Si6 (PBE, relaxed)" crystal_system=trigonal n_ef_per_ev_cell=12.25 vol_a3_per_cell=412.74 e_form_raw_ev_per_atom=-0.5007 space_group=R-3 pbc="T T T"
Ce 0.000 0.000 0.000
Pm -1.437 -2.548 8.144
Pm -2.925 -0.030 10.457
Pm 0.000 0.000 6.178
Pm -1.488 2.518 8.144
Pm 1.488 -2.518 10.457
Pm 0.000 0.000 12.422
Pm 2.925 0.030 8.144
Pm 1.437 2.548 10.457
Si -2.913 -0.020 7.447
Si -1.439 -2.533 11.153
Si 1.474 -2.513 7.447
Si -1.474 2.513 11.153
Si 1.439 2.533 7.447
Si 2.913 0.020 11.153

=====

# 3
9
Lattice="-1.932 4.209 6.192 1.932 -4.209 6.192 1.932 4.209 -6.192" Properties=species:S:1:pos:R:3 comment="CePm2Si6 (PBE, relaxed)" crystal_system=orthorhombic n_ef_per_ev_cell=8.38 vol_a3_per_cell=201.37 e_form_raw_ev_per_atom=-0.3190 e_above_lowest_polymorph_ev_per_atom=0.2962 space_group=Immm pbc="T T T"
Ce 0.000 0.000 0.000
Pm 1.932 0.000 4.557
Pm 0.000 4.209 1.636
Si 1.932 1.926 -2.352
Si 1.932 2.385 0.000
Si 1.932 1.926 2.352
Si 0.000 2.283 3.840
Si 0.000 1.824 6.192
Si 0.000 2.283 8.545